Compound: Nd3SiSn
Source: Alexandria
Functional: PBE
Structure: optimized geometry

POSCAR file:
```
Nd3SiSn
1.0
5.847 0.000 0.000
0.000 7.668 -0.001
0.000 -3.833 6.641
Nd Si Sn
6 2 2
Cartesian
4.386 1.718 5.417
1.462 2.117 1.223
4.386 0.001 2.444
4.386 -1.715 5.418
1.462 3.834 4.196
1.462 5.550 1.222
0.000 0.000 0.000
2.924 0.000 0.000
4.386 3.832 2.214
1.462 0.003 4.426
```

Values from the calculation:
electronic total energy: -5.243 eV/atom
symmetry: No. 194

Compound: Ta2CoCu
Source: Alexandria
Functional: PBE
Structure: optimized geometry

POSCAR file:
```
Ta2CoCu
1.0
-2.211 1.249 -4.648
-2.710 -3.687 -2.667
0.526 2.907 4.397
Cu Ta Co
1 2 1
Cartesian
-1.960 1.524 -1.788
-4.918 -2.437 -7.311
-2.415 -1.046 -1.102
-2.483 -1.230 -3.692
```

Values from the calculation:
electronic total energy: -8.649 eV/atom
ΔH_f (0 K): 0.08 eV/atom
symmetry: No. 44

Compound: YTm2MgS6
Source: Alexandria
Functional: PBE
Structure: optimized geometry

POSCAR file:
```
YTm2MgS6
1.0
6.771 -0.002 0.000
3.384 5.862 0.000
3.385 1.954 6.043
S Tm Mg Y
6 2 1 1
Cartesian
7.791 2.156 4.564
9.145 4.019 1.495
7.775 5.667 4.563
5.682 1.794 1.494
5.484 5.907 1.494
4.743 3.900 4.565
3.384 1.954 5.770
6.770 3.908 2.750
3.386 1.954 0.294
10.155 5.860 3.321
```

Values from the calculation:
electronic total energy: -5.874 eV/atom
symmetry: No. 146

Compound: PuTi2Ir2
Source: Alexandria
Functional: PBE
Structure: optimized geometry

POSCAR file:
```
PuTi2Ir2
1.0
-1.155 1.358 3.856
2.837 -2.619 1.772
2.897 4.511 -3.061
Ti Pu Ir
2 1 2
Cartesian
1.292 2.619 1.804
3.287 0.631 0.762
0.000 0.000 0.000
1.739 0.302 2.755
2.840 2.948 -0.188
```

Values from the calculation:
electronic total energy: -10.199 eV/atom
ΔH_f (0 K): -0.63 eV/atom
symmetry: No. 139

Which value of electronic total energy does entry 1 give? -5.243 eV/atom